(1)
A plane-wave DFT calculation with GGA-PBEsol was carried out for BaRe3As after structural relaxation.

Summary:
Total magnetic moment (μB/atom): 0.470
D(E_F) (states/eV/f.u.): 7.229
Formation energy from the elements (kJ/mol of formula units): 1975
Space-group type: Pm-3m

Lattice parameters (Å, degrees): 4.932 4.932 4.932 90.00 90.00 90.00
Each line ends with the local moment (μB).
Element x y z (fractional)
Re (0.000, 0.000, 0.500)  0.73
Re (0.500, 0.000, 0.000)  0.73
Re (0.000, 0.500, 0.000)  0.73
As (0.500, 0.500, 0.500)  -0.10
Ba (0.000, 0.000, 0.000)  0.00

---

(2)
A plane-wave DFT calculation with GGA-PBEsol was carried out for BaReAs after structural relaxation.

Summary:
Total magnetic moment (μB/atom): 0.000
D(E_F) (states/eV/f.u.): 1.825
Formation energy from the elements (kJ/mol of formula units): 35
Space-group type: I4mm
Polymorph energy (0 for the lowest one) (meV/atom): 23

Lattice parameters (Å, degrees): 3.322 3.322 6.406 105.03 105.03 90.00
Element x y z (fractional)
Ba (0.329, 0.329, 0.658)
Re (0.627, 0.627, 0.254)
As (0.044, 0.044, 0.088)

---

(3)
A plane-wave DFT calculation with GGA-PBEsol was carried out for BaReAs after structural relaxation.

Summary:
Total magnetic moment (μB/atom): 0.000
D(E_F) (states/eV/f.u.): 1.493
Formation energy from the elements (kJ/mol of formula units): 28
Space-group type: P-6m2
Polymorph energy (0 for the lowest one) (meV/atom): 0

Lattice parameters (Å, degrees): 4.177 4.177 5.097 90.00 90.00 120.00
Element x y z (fractional)
Ba (0.333, 0.667, 0.000)
Re (0.667, 0.333, 0.500)
As (0.000, 0.000, 0.500)

---

(4)
A plane-wave DFT calculation with GGA-PBEsol was carried out for BaReAsSe2 after structural relaxation.

Summary:
Total magnetic moment (μB/atom): 0.088
D(E_F) (states/eV/f.u.): 5.273
Space-group type: P4/mmm
Final energy (eV per formula unit): -30.20

Lattice parameters (Å, degrees): 4.700 5.120 5.120 90.00 90.00 90.00
Each line ends with the local moment (μB).
Element x y z (fractional)
Se (0.000, 0.500, 0.000)  0.02
Se (0.000, 0.000, 0.500)  0.02
As (0.500, 0.000, 0.000)  -0.01
Ba (0.500, 0.500, 0.500)  0.01
Re (0.000, 0.000, 0.000)  0.34

---

(5)
A plane-wave DFT calculation with GGA-PBEsol was carried out for BaAs2Rh2 after structural relaxation.

Summary:
Total magnetic moment (μB/atom): 0.000
D(E_F) (states/eV/f.u.): 3.073
Formation energy from the elements (kJ/mol of formula units): -398
Space-group type: I4/mmm

Lattice parameters (Å, degrees): 4.021 4.021 7.021 106.64 106.64 90.00
Element x y z (fractional)
As (0.357, 0.357, 0.715)
As (0.643, 0.643, 0.285)
Rh (0.250, 0.750, 0.500)
Rh (0.750, 0.250, 0.500)
Ba (0.000, 0.000, 0.000)

---

(6)
A plane-wave DFT calculation with GGA-PBEsol was carried out for BaAsRu2 after structural relaxation.

Summary:
Total magnetic moment (μB/atom): 0.001
D(E_F) (states/eV/f.u.): 5.314
Formation energy from the elements (kJ/mol of formula units): 281
Space-group type: P4/mmm

Lattice parameters (Å, degrees): 3.536 4.523 4.523 90.00 90.00 90.00
Element x y z (fractional)
Ru (0.000, 0.500, 0.000)
Ru (0.000, 0.000, 0.500)
As (0.500, 0.500, 0.500)
Ba (0.500, 0.000, 0.000)

---

(7)
A plane-wave DFT calculation with GGA-PBEsol was carried out for BaAsRu2 after structural relaxation.

Summary:
Total magnetic moment (μB/atom): 0.000
D(E_F) (states/eV/f.u.): 4.613
Formation energy from the elements (kJ/mol of formula units): 151
Space-group type: P2/m

Lattice parameters (Å, degrees): 3.090 3.755 7.102 90.00 100.23 90.00
Element x y z (fractional)
Ru (0.847, 0.000, 0.164)
Ru (0.153, 0.000, 0.836)
As (0.500, 0.500, 0.000)
Ba (0.500, 0.500, 0.500)

---

(8)
A plane-wave DFT calculation with GGA-PBEsol was carried out for BaAsRu2 after structural relaxation.

Summary:
Total magnetic moment (μB/atom): 0.003
D(E_F) (states/eV/f.u.): 6.006
Formation energy from the elements (kJ/mol of formula units): 149
Space-group type: P4/mmm

Lattice parameters (Å, degrees): 3.112 3.112 7.606 90.00 90.00 90.00
Element x y z (fractional)
Ru (0.000, 0.000, 0.176)
Ru (0.000, 0.000, 0.824)
Ba (0.500, 0.500, 0.500)
As (0.500, 0.500, 0.000)